(1)
DFT (PBE) results for a relaxed CePr3Tl2 crystal.

Cell and atoms, written as POSCAR:
```
CePr3Tl2
1.0
2.526 -8.101 0.000
2.526 8.101 0.000
0.000 0.000 4.526
Ce Pr Tl
1 3 2
Direct
0.000 0.000 0.000
0.175 0.825 0.500
0.500 0.500 0.500
0.825 0.175 0.500
0.346 0.654 0.000
0.654 0.346 0.000
```

Results
DFT formation energy: -0.197 eV/atom
space group: Cmmm (65)
magnetization: 0.0982 μB per atom
energy: -4.3644 eV/atom



(2)
DFT (PBE) results for a relaxed Ce2Pr3Tl3 crystal.

Cell and atoms, written as POSCAR:
```
Ce2Pr3Tl3
1.0
-2.285 2.499 10.569
2.285 -2.499 10.569
2.285 2.499 -10.569
Ce Pr Tl
2 3 3
Direct
0.244 0.244 0.000
0.756 0.756 0.000
0.000 0.000 0.000
0.379 0.879 0.500
0.621 0.121 0.500
0.130 0.630 0.500
0.500 0.500 0.000
0.870 0.370 0.500
```

Results
DFT formation energy: -0.231 eV/atom
space group: Immm (71)
magnetization: 0.2554 μB per atom
energy: -4.3940 eV/atom



(3)
DFT (PBE) results for a relaxed Ce2PrTl3 crystal.

Cell and atoms, written as POSCAR:
```
Ce2PrTl3
1.0
3.545 0.000 0.000
0.000 3.545 0.000
0.000 0.000 13.877
Ce Pr Tl
2 1 3
Direct
0.000 0.000 0.166
0.000 0.000 0.834
0.000 0.000 0.500
0.500 0.500 0.000
0.500 0.500 0.331
0.500 0.500 0.669
```

Results
DFT formation energy: -0.286 eV/atom
space group: P4/mmm (123)
magnetization: 0.4324 μB per atom
energy: -4.2437 eV/atom



(4)
DFT (PBE) results for a relaxed Ce4PrTl5 crystal.

Cell and atoms, written as POSCAR:
```
Ce4PrTl5
1.0
4.146 0.000 0.000
0.000 4.146 0.000
0.000 0.000 17.079
Ce Pr Tl
4 1 5
Direct
0.000 0.000 0.098
0.000 0.000 0.293
0.000 0.000 0.707
0.000 0.000 0.902
0.000 0.000 0.500
0.500 0.500 0.000
0.500 0.500 0.197
0.500 0.500 0.397
0.500 0.500 0.603
0.500 0.500 0.803
```

Results
DFT formation energy: -0.242 eV/atom
space group: P4/mmm (123)
magnetization: 0.5238 μB per atom
energy: -4.2769 eV/atom



(5)
DFT (PBE) results for a relaxed CePr5Tl6 crystal.

Cell and atoms, written as POSCAR:
```
CePr5Tl6
1.0
2.788 -8.367 0.000
2.788 8.367 0.000
0.000 0.000 7.813
Ce Pr Tl
1 5 6
Direct
0.000 0.000 0.000
0.000 0.000 0.500
0.333 0.667 0.000
0.334 0.666 0.500
0.666 0.334 0.500
0.667 0.333 0.000
0.167 0.833 0.250
0.167 0.833 0.750
0.500 0.500 0.249
0.500 0.500 0.751
0.833 0.167 0.250
0.833 0.167 0.750
```

Results
DFT formation energy: -0.360 eV/atom
space group: Cmmm (65)
magnetization: 0.0937 μB per atom
energy: -4.0293 eV/atom



(6)
DFT (PBE) results for a relaxed Ce2PrTl crystal.

Cell and atoms, written as POSCAR:
```
Ce2PrTl
1.0
4.238 0.000 0.000
0.000 4.238 0.000
0.000 0.000 6.939
Ce Pr Tl
2 1 1
Direct
0.000 0.000 0.206
0.000 0.000 0.794
0.500 0.500 0.500
0.500 0.500 0.000
```

Results
offset from the most stable computed form: 0.52 eV/f.u.
DFT formation energy: -0.031 eV/atom
space group: P4/mmm (123)
magnetization: 0.6261 μB per atom
energy: -4.7848 eV/atom



(7)
DFT (PBE) results for a relaxed Ce4PrTl crystal.

Cell and atoms, written as POSCAR:
```
Ce4PrTl
1.0
0.000 4.444 4.444
4.444 0.000 4.444
4.444 4.444 0.000
Ce Pr Tl
4 1 1
Direct
0.113 0.113 0.113
0.113 0.113 0.660
0.113 0.660 0.113
0.660 0.113 0.113
0.500 0.500 0.500
0.750 0.750 0.750
```

Results
DFT formation energy: 0.135 eV/atom
space group: F-43m (216)
magnetization: 0.4083 μB per atom
energy: -5.0122 eV/atom



(8)
DFT (PBE) results for a relaxed CePr8Tl6 crystal.

Cell and atoms, written as POSCAR:
```
CePr8Tl6
1.0
4.712 2.720 6.694
-4.712 2.720 6.694
0.000 -5.440 6.694
Ce Pr Tl
1 8 6
Direct
0.000 0.000 0.000
0.115 0.443 0.782
0.218 0.885 0.557
0.333 0.333 0.333
0.443 0.782 0.115
0.557 0.218 0.885
0.667 0.667 0.667
0.782 0.115 0.443
0.885 0.557 0.218
0.057 0.724 0.390
0.276 0.610 0.943
0.390 0.057 0.724
0.610 0.943 0.276
0.724 0.390 0.057
0.943 0.276 0.610
```

Results
DFT formation energy: -0.152 eV/atom
space group: R-3 (148)
magnetization: 0.1123 μB per atom
energy: -4.0430 eV/atom



(9)
DFT (PBE) results for a relaxed Ce2Pr2Tl3 crystal.

Cell and atoms, written as POSCAR:
```
Ce2Pr2Tl3
1.0
2.242 -12.608 0.000
2.242 12.608 0.000
0.000 0.000 3.579
Ce Pr Tl
2 2 3
Direct
0.216 0.784 0.000
0.784 0.216 0.000
0.075 0.925 0.000
0.925 0.075 0.000
0.351 0.649 0.500
0.500 0.500 0.500
0.649 0.351 0.500
```

Results
DFT formation energy: -0.252 eV/atom
space group: Cmmm (65)
magnetization: 0.2234 μB per atom
energy: -4.3270 eV/atom



(10)
DFT (PBE) results for a relaxed CePr2Tl crystal.

Cell and atoms, written as POSCAR:
```
CePr2Tl
1.0
3.700 0.000 0.000
0.000 3.700 0.000
0.000 0.000 9.189
Ce Pr Tl
1 2 1
Direct
0.000 0.000 0.000
0.500 0.500 0.262
0.500 0.500 0.738
0.000 0.000 0.500
```

Results
offset from the most stable computed form: 0.11 eV/f.u.
DFT formation energy: -0.127 eV/atom
space group: P4/mmm (123)
magnetization: 0.0941 μB per atom
energy: -4.5918 eV/atom



(11)
DFT (PBE) results for a relaxed CePrTl4 crystal.

Cell and atoms, written as POSCAR:
```
CePrTl4
1.0
0.000 4.442 4.442
4.442 0.000 4.442
4.442 4.442 0.000
Ce Pr Tl
1 1 4
Direct
0.000 0.000 0.000
0.250 0.250 0.250
0.125 0.625 0.625
0.625 0.125 0.625
0.625 0.625 0.125
0.625 0.625 0.625
```

Results
offset from the most stable computed form: 0.24 eV/f.u.
DFT formation energy: -0.111 eV/atom
space group: F-43m (216)
magnetization: 0.2696 μB per atom
energy: -3.4739 eV/atom



(12)
DFT (PBE) results for a relaxed CePr5Tl3 crystal.

Cell and atoms, written as POSCAR:
```
CePr5Tl3
1.0
9.732 0.000 0.000
-4.866 8.428 0.000
0.000 0.000 6.924
Ce Pr Tl
2 10 6
Direct
0.000 0.000 0.000
0.000 0.000 0.500
0.000 0.328 0.250
0.000 0.672 0.750
0.328 0.000 0.250
0.328 0.328 0.750
0.333 0.667 0.000
0.333 0.667 0.500
0.667 0.333 0.000
0.667 0.333 0.500
0.672 0.000 0.750
0.672 0.672 0.250
0.000 0.336 0.750
0.000 0.664 0.250
0.336 0.000 0.750
0.336 0.336 0.250
0.664 0.000 0.250
0.664 0.664 0.750
```

Results
DFT formation energy: -0.252 eV/atom
space group: P6_3/mcm (193)
magnetization: 0.3189 μB per atom
energy: -4.3553 eV/atom



(13)
DFT (PBE) results for a relaxed CePrTl6 crystal.

Cell and atoms, written as POSCAR:
```
CePrTl6
1.0
4.841 0.000 0.000
0.000 4.841 0.000
0.000 0.000 9.685
Ce Pr Tl
1 1 6
Direct
0.000 0.000 0.000
0.000 0.000 0.500
0.000 0.500 0.248
0.000 0.500 0.752
0.500 0.000 0.248
0.500 0.000 0.752
0.500 0.500 0.000
0.500 0.500 0.500
```

Results
DFT formation energy: -0.286 eV/atom
space group: P4/mmm (123)
magnetization: 0.1157 μB per atom
energy: -3.4003 eV/atom